(1)
This record from Alexandria via LeMat-Bulk describes a relaxed NbCoHRu2 crystal. The functional is GGA-PBE.

Geometry as CIF:
```
data_NbCoHRu2
_chemical_formula_sum 'Nb1 Co1 H1 Ru2'
_symmetry_space_group_name_H-M 'P 1'
_symmetry_Int_Tables_number 1
_symmetry_space_group_name_Hall 'P 1'
_cell_length_a 3.8390
_cell_length_b 3.8390
_cell_length_c 3.9806
_cell_angle_alpha 90.00
_cell_angle_beta 90.00
_cell_angle_gamma 90.00
loop_
_atom_site_label
_atom_site_type_symbol
_atom_site_fract_x
_atom_site_fract_y
_atom_site_fract_z
Nb1 Nb 0.0000 0.0000 0.0000
Co1 Co 0.5000 0.5000 0.0000
H1 H 0.0000 0.0000 0.5000
Ru1 Ru 0.0000 0.5000 0.5000
Ru2 Ru 0.5000 0.0000 0.5000
```

Relative energy among the computed polymorphs, meV per atom: 97
Calculated density, g/cm3: 10.048
Symmetry: P4/mmm (123)


(2)
This record from Alexandria via LeMat-Bulk describes a relaxed TmTlSe2 crystal. The functional is GGA-PBE.

Geometry as CIF:
```
data_TmTlSe2
_chemical_formula_sum 'Tm1 Tl1 Se2'
_symmetry_space_group_name_H-M 'P 1'
_symmetry_Int_Tables_number 1
_symmetry_space_group_name_Hall 'P 1'
_cell_length_a 8.2401
_cell_length_b 8.2401
_cell_length_c 8.2401
_cell_angle_alpha 28.95
_cell_angle_beta 28.95
_cell_angle_gamma 28.95
loop_
_atom_site_label
_atom_site_type_symbol
_atom_site_fract_x
_atom_site_fract_y
_atom_site_fract_z
Tm1 Tm 0.0000 0.0000 0.0000
Tl1 Tl 0.8314 0.8314 0.8314
Se1 Se 0.3999 0.3999 0.3999
Se2 Se 0.6000 0.6000 0.6000
```

Calculated density, g/cm3: 7.609
Symmetry: R3m (160)


(3)
This record from Alexandria via LeMat-Bulk describes a relaxed PuTl2HgO6 crystal. The functional is GGA-PBE.

Geometry as CIF:
```
data_PuTl2HgO6
_chemical_formula_sum 'Pu1 Tl2 Hg1 O6'
_symmetry_space_group_name_H-M 'P 1'
_symmetry_Int_Tables_number 1
_symmetry_space_group_name_Hall 'P 1'
_cell_length_a 6.2234
_cell_length_b 6.2390
_cell_length_c 6.4820
_cell_angle_alpha 110.82
_cell_angle_beta 113.03
_cell_angle_gamma 102.07
loop_
_atom_site_label
_atom_site_type_symbol
_atom_site_fract_x
_atom_site_fract_y
_atom_site_fract_z
Pu1 Pu 0.0000 0.0000 0.0000
Tl1 Tl 0.2113 0.7974 0.5073
Tl2 Tl 0.7887 0.2026 0.4927
Hg1 Hg 0.5000 0.5000 0.0000
O1 O 0.1781 0.2847 0.3229
O2 O 0.1863 0.1819 0.8245
O3 O 0.2603 0.8863 0.1100
O4 O 0.7397 0.1137 0.8900
O5 O 0.8137 0.8181 0.1755
O6 O 0.8219 0.7153 0.6771
```

Calculated density, g/cm3: 7.963
Symmetry: P-1 (2)


(4)
This record from Alexandria via LeMat-Bulk describes a relaxed SrZr2Sn2 crystal. The functional is GGA-PBE.

Geometry as CIF:
```
data_SrZr2Sn2
_chemical_formula_sum 'Sr1 Zr2 Sn2'
_symmetry_space_group_name_H-M 'P 1'
_symmetry_Int_Tables_number 1
_symmetry_space_group_name_Hall 'P 1'
_cell_length_a 7.4500
_cell_length_b 7.4500
_cell_length_c 7.4500
_cell_angle_alpha 144.00
_cell_angle_beta 144.00
_cell_angle_gamma 51.83
loop_
_atom_site_label
_atom_site_type_symbol
_atom_site_fract_x
_atom_site_fract_y
_atom_site_fract_z
Sr1 Sr 0.0000 0.0000 0.0000
Zr1 Zr 0.2500 0.7500 0.5000
Zr2 Zr 0.7500 0.2500 0.5000
Sn1 Sn 0.3892 0.3892 0.0000
Sn2 Sn 0.6108 0.6108 0.0000
```

Relative energy among the computed polymorphs, meV per atom: 0
Energy relative to the elements, eV/atom: -0.39
Calculated density, g/cm3: 5.931
Symmetry: I4/mmm (139)


no.,total energy (eV for the cell shown)
1,-39.5
2,-19.2
3,-62.1
4,-28.7